[1]
Compound: ReSe2
Source: OQMD via LeMat-Bulk
Functional: PBE
Structure: optimized geometry

Results
* energy: -6.64 eV/atom
* SG: P2_1/c (14)

Structure (POSCAR):
```
ReSe2
1.0
6.287 0.000 0.000
0.000 6.185 0.000
-2.513 0.000 5.840
Re Se
4 8
Direct
0.225 0.002 0.208
0.225 0.498 0.708
0.775 0.502 0.292
0.775 0.998 0.792
0.151 0.640 0.324
0.151 0.860 0.824
0.355 0.133 0.620
0.355 0.367 0.120
0.645 0.633 0.880
0.645 0.867 0.380
0.849 0.140 0.176
0.849 0.360 0.676
```


[2]
Compound: ReSe2
Source: OQMD via LeMat-Bulk
Functional: PBE
Structure: optimized geometry

Results
* energy: -6.50 eV/atom
* SG: Pbcn (60)

Structure (POSCAR):
```
ReSe2
1.0
5.765 0.000 0.000
0.000 7.146 0.000
0.000 0.000 5.661
Re Se
4 8
Direct
0.000 0.088 0.250
0.000 0.912 0.750
0.500 0.412 0.750
0.500 0.588 0.250
0.211 0.373 0.073
0.211 0.627 0.573
0.289 0.127 0.573
0.289 0.873 0.073
0.711 0.127 0.927
0.711 0.873 0.427
0.789 0.373 0.427
0.789 0.627 0.927
```


[3]
Compound: ReSnSe4
Source: OQMD via LeMat-Bulk
Functional: PBE
Structure: optimized geometry

Results
* energy: -5.31 eV/atom
* SG: P-1 (2)

Structure (POSCAR):
```
ReSnSe4
1.0
6.791 0.000 0.000
-2.117 6.715 0.000
-0.191 -3.745 6.704
Re Sn Se
2 2 8
Direct
0.000 0.201 0.000
0.000 0.799 0.000
0.004 0.265 0.527
0.996 0.735 0.473
0.219 0.516 0.905
0.242 0.998 0.327
0.244 0.470 0.327
0.249 0.002 0.860
0.751 0.998 0.140
0.756 0.530 0.673
0.758 0.002 0.673
0.781 0.484 0.095
```


[4]
Compound: ReTe3Se2
Source: OQMD via LeMat-Bulk
Functional: PBE
Structure: optimized geometry

Results
* polymorph energy (0 for the lowest one): 0.000 eV per formula unit
* SG: P-1 (2)

Structure (POSCAR):
```
ReTe3Se2
1.0
6.840 0.000 0.000
2.382 6.873 0.000
2.248 3.050 7.244
Re Te Se
2 6 4
Direct
0.002 0.195 0.496
0.998 0.805 0.504
0.002 0.263 0.981
0.232 0.382 0.595
0.264 0.846 0.179
0.736 0.154 0.821
0.768 0.618 0.405
0.998 0.737 0.019
0.235 0.312 0.198
0.244 0.855 0.641
0.756 0.145 0.359
0.765 0.688 0.802
```


[5]
Compound: ReTe3Se2
Source: OQMD via LeMat-Bulk
Functional: PBE
Structure: optimized geometry

Results
* polymorph energy (0 for the lowest one): 0.670 eV per formula unit
* SG: P-1 (2)

Structure (POSCAR):
```
ReTe3Se2
1.0
6.883 0.000 0.000
2.330 7.228 0.000
3.249 1.447 6.948
Re Te Se
2 6 4
Direct
0.207 0.496 0.001
0.793 0.504 0.999
0.164 0.473 0.669
0.366 0.790 0.681
0.367 0.682 0.151
0.633 0.318 0.849
0.634 0.210 0.319
0.836 0.527 0.331
0.095 0.204 0.002
0.248 0.221 0.304
0.752 0.779 0.696
0.905 0.796 0.998
```


[6]
Compound: Re3Te4Se2
Source: OQMD via LeMat-Bulk
Functional: PBE
Structure: optimized geometry

Results
* energy: -6.17 eV/atom
* SG: C2/m (12)

Structure (POSCAR):
```
Re3Te4Se2
1.0
9.191 -1.944 0.000
9.191 1.944 0.000
-0.375 0.000 5.663
Re Te Se
3 4 2
Direct
0.000 0.000 0.000
0.321 0.321 0.517
0.679 0.679 0.483
0.214 0.214 0.794
0.451 0.451 0.280
0.549 0.549 0.720
0.786 0.786 0.206
0.118 0.118 0.254
0.882 0.882 0.746
```


[7]
Compound: ReTe3Se2
Source: OQMD via LeMat-Bulk
Functional: PBE
Structure: optimized geometry

Results
* polymorph energy (0 for the lowest one): 0.417 eV per formula unit
* SG: P-1 (2)

Structure (POSCAR):
```
ReTe3Se2
1.0
7.001 0.000 0.000
-1.971 7.293 0.000
-3.234 -2.146 6.934
Re Te Se
2 6 4
Direct
0.231 0.497 0.023
0.769 0.503 0.977
0.075 0.782 0.943
0.276 0.535 0.389
0.422 0.156 0.735
0.578 0.844 0.265
0.724 0.465 0.611
0.925 0.218 0.057
0.057 0.285 0.677
0.499 0.328 0.102
0.501 0.672 0.898
0.943 0.715 0.323
```


[8]
Compound: Re2Te3Se
Source: OQMD via LeMat-Bulk
Functional: PBE
Structure: optimized geometry

Results
* polymorph energy (0 for the lowest one): 0.116 eV per formula unit
* SG: P-1 (2)

Structure (POSCAR):
```
Re2Te3Se
1.0
6.952 0.000 0.000
3.396 6.261 0.000
1.728 1.688 7.351
Re Te Se
4 6 2
Direct
0.009 0.300 0.003
0.427 0.324 0.011
0.573 0.676 0.989
0.991 0.700 0.997
0.111 0.365 0.285
0.161 0.856 0.185
0.380 0.117 0.793
0.620 0.883 0.207
0.839 0.144 0.815
0.889 0.635 0.715
0.339 0.667 0.780
0.661 0.333 0.220
```


[9]
Compound: ReTe3Se2
Source: OQMD via LeMat-Bulk
Functional: PBE
Structure: optimized geometry

Results
* polymorph energy (0 for the lowest one): 0.433 eV per formula unit
* SG: P-1 (2)

Structure (POSCAR):
```
ReTe3Se2
1.0
7.382 0.000 0.000
-2.214 7.375 0.000
-3.018 -1.763 7.077
Re Te Se
2 6 4
Direct
0.224 0.010 0.025
0.776 0.990 0.975
0.058 0.269 0.926
0.250 0.041 0.380
0.475 0.804 0.094
0.525 0.196 0.906
0.750 0.959 0.620
0.942 0.731 0.074
0.045 0.816 0.681
0.446 0.686 0.766
0.554 0.314 0.234
0.955 0.184 0.319
```


[10]
Compound: ReTe3Se2
Source: OQMD via LeMat-Bulk
Functional: PBE
Structure: optimized geometry

Results
* polymorph energy (0 for the lowest one): 0.445 eV per formula unit
* SG: P-1 (2)

Structure (POSCAR):
```
ReTe3Se2
1.0
7.131 0.000 0.000
-2.048 6.923 0.000
-2.452 -1.461 7.008
Re Te Se
2 6 4
Direct
0.240 0.040 0.009
0.760 0.960 0.991
0.078 0.657 0.788
0.088 0.959 0.289
0.293 0.439 0.081
0.707 0.561 0.919
0.912 0.041 0.711
0.922 0.343 0.212
0.448 0.741 0.686
0.466 0.104 0.818
0.534 0.896 0.182
0.552 0.259 0.314
```


[11]
Compound: ReTe3Se2
Source: OQMD via LeMat-Bulk
Functional: PBE
Structure: optimized geometry

Results
* polymorph energy (0 for the lowest one): 0.417 eV per formula unit
* SG: P-1 (2)

Structure (POSCAR):
```
ReTe3Se2
1.0
6.805 0.000 0.000
2.405 7.139 0.000
3.351 1.360 6.986
Re Te Se
2 6 4
Direct
0.218 0.000 0.488
0.782 0.000 0.512
0.133 0.992 0.166
0.276 0.653 0.774
0.382 0.282 0.146
0.618 0.718 0.854
0.724 0.347 0.226
0.867 0.008 0.834
0.114 0.706 0.468
0.368 0.151 0.642
0.632 0.849 0.358
0.886 0.294 0.532
```


[12]
Compound: ReTe3Se2
Source: OQMD via LeMat-Bulk
Functional: PBE
Structure: optimized geometry

Results
* polymorph energy (0 for the lowest one): 0.112 eV per formula unit
* SG: P-1 (2)

Structure (POSCAR):
```
ReTe3Se2
1.0
6.894 0.000 0.000
-2.100 7.030 0.000
-0.118 -3.852 7.170
Re Te Se
2 6 4
Direct
0.001 0.202 0.499
0.999 0.798 0.501
0.003 0.262 0.020
0.232 0.522 0.416
0.272 0.003 0.363
0.728 0.997 0.637
0.768 0.478 0.584
0.997 0.738 0.980
0.217 0.985 0.818
0.222 0.449 0.814
0.778 0.551 0.186
0.783 0.015 0.182
```


[13]
Compound: Re2Te3Se
Source: OQMD via LeMat-Bulk
Functional: PBE
Structure: optimized geometry

Results
* polymorph energy (0 for the lowest one): 0.000 eV per formula unit
* SG: P-1 (2)

Structure (POSCAR):
```
Re2Te3Se
1.0
6.998 0.000 0.000
3.447 6.273 0.000
1.691 1.599 7.238
Re Te Se
4 6 2
Direct
0.011 0.299 0.005
0.421 0.323 0.011
0.579 0.677 0.989
0.989 0.701 0.995
0.164 0.855 0.183
0.345 0.671 0.746
0.382 0.114 0.788
0.618 0.886 0.212
0.655 0.329 0.254
0.836 0.145 0.817
0.110 0.380 0.259
0.890 0.620 0.741
```


[14]
Compound: ReTe3Se2
Source: OQMD via LeMat-Bulk
Functional: PBE
Structure: optimized geometry

Results
* polymorph energy (0 for the lowest one): 0.168 eV per formula unit
* SG: P-1 (2)

Structure (POSCAR):
```
ReTe3Se2
1.0
6.831 0.000 0.000
-2.019 6.799 0.000
-0.066 -3.694 7.292
Re Te Se
2 6 4
Direct
0.002 0.207 0.498
0.998 0.793 0.502
0.011 0.273 0.025
0.265 0.997 0.820
0.284 0.464 0.799
0.716 0.536 0.201
0.735 0.003 0.180
0.989 0.727 0.975
0.201 0.507 0.399
0.223 0.979 0.347
0.777 0.021 0.653
0.799 0.493 0.601
```


[15]
Compound: ReTe3Se2
Source: OQMD via LeMat-Bulk
Functional: PBE
Structure: optimized geometry

Results
* polymorph energy (0 for the lowest one): 0.209 eV per formula unit
* SG: P-1 (2)

Structure (POSCAR):
```
ReTe3Se2
1.0
7.243 0.000 0.000
-1.638 7.363 0.000
-2.930 -3.015 6.631
Re Te Se
2 6 4
Direct
0.218 0.009 0.026
0.782 0.991 0.974
0.246 0.028 0.385
0.434 0.638 0.669
0.475 0.793 0.061
0.525 0.207 0.939
0.566 0.362 0.331
0.754 0.972 0.615
0.044 0.805 0.646
0.061 0.264 0.975
0.939 0.736 0.025
0.956 0.195 0.354
```


[16]
Compound: TlRe3Se5
Source: OQMD via LeMat-Bulk
Functional: PBE
Structure: optimized geometry

Results
* energy: -6.18 eV/atom
* SG: P6/mmm (191)

Structure (POSCAR):
```
TlRe3Se5
1.0
5.703 0.000 0.000
-2.851 4.939 0.000
0.000 0.000 7.429
Tl Re Se
1 3 5
Direct
0.000 0.000 0.000
0.000 0.500 0.500
0.500 0.000 0.500
0.500 0.500 0.500
0.000 0.000 0.500
0.333 0.667 0.242
0.333 0.667 0.758
0.667 0.333 0.242
0.667 0.333 0.758
```


[17]
Compound: Tl2Re3Se6
Source: OQMD via LeMat-Bulk
Functional: PBE
Structure: optimized geometry

Results
* energy: -6.14 eV/atom
* SG: C2/c (15)

Structure (POSCAR):
```
Tl2Re3Se6
1.0
8.716 -5.004 0.000
8.716 5.004 0.000
-0.138 0.000 12.377
Tl Re Se
8 12 24
Direct
0.089 0.911 0.750
0.149 0.645 0.515
0.284 0.716 0.250
0.355 0.851 0.985
0.645 0.149 0.015
0.716 0.284 0.750
0.851 0.355 0.485
0.911 0.089 0.250
0.028 0.385 0.873
0.103 0.317 0.080
0.186 0.492 0.975
0.317 0.103 0.580
0.385 0.028 0.373
0.492 0.186 0.475
0.508 0.814 0.525
0.615 0.972 0.627
0.683 0.897 0.420
0.814 0.508 0.025
0.897 0.683 0.920
0.972 0.615 0.127
0.054 0.781 0.022
0.058 0.231 0.693
0.106 0.556 0.778
0.205 0.305 0.431
0.219 0.946 0.478
0.231 0.058 0.193
0.254 0.425 0.172
0.305 0.205 0.931
0.425 0.254 0.672
0.436 0.490 0.919
0.444 0.894 0.722
0.490 0.436 0.419
0.510 0.564 0.581
0.556 0.106 0.278
0.564 0.510 0.081
0.575 0.746 0.328
0.695 0.795 0.069
0.746 0.575 0.828
0.769 0.942 0.807
0.781 0.054 0.522
0.795 0.695 0.569
0.894 0.444 0.222
0.942 0.769 0.307
0.946 0.219 0.978
```


[18]
Compound: Tl2Re3Se6
Source: OQMD via LeMat-Bulk
Functional: PBE
Structure: optimized geometry

Results
* energy: -6.14 eV/atom
* SG: C2/c (15)

Structure (POSCAR):
```
Tl2Re3Se6
1.0
8.726 -5.017 0.000
8.726 5.017 0.000
-0.037 0.000 12.381
Tl Re Se
8 12 24
Direct
0.087 0.913 0.750
0.150 0.641 0.513
0.287 0.713 0.250
0.359 0.850 0.987
0.641 0.150 0.013
0.713 0.287 0.750
0.850 0.359 0.487
0.913 0.087 0.250
0.030 0.385 0.873
0.101 0.318 0.081
0.186 0.492 0.976
0.318 0.101 0.581
0.385 0.030 0.373
0.492 0.186 0.476
0.508 0.814 0.524
0.615 0.970 0.627
0.682 0.899 0.419
0.814 0.508 0.024
0.899 0.682 0.919
0.970 0.615 0.127
0.054 0.780 0.022
0.060 0.230 0.694
0.110 0.555 0.779
0.206 0.305 0.433
0.220 0.946 0.478
0.230 0.060 0.194
0.250 0.426 0.173
0.305 0.206 0.933
0.426 0.250 0.673
0.434 0.493 0.919
0.445 0.890 0.721
0.493 0.434 0.419
0.507 0.566 0.581
0.555 0.110 0.279
0.566 0.507 0.081
0.574 0.750 0.327
0.695 0.794 0.067
0.750 0.574 0.827
0.770 0.940 0.806
0.780 0.054 0.522
0.794 0.695 0.567
0.890 0.445 0.221
0.940 0.770 0.306
0.946 0.220 0.978
```